VASP calculation (PBE) on a relaxed structure of Gd2DyIn.

Computed properties:
**SG**: R-3m (166)
**Calculated formation energy**: 0.38 eV/f.u.
**Total magnetization**: 3.708 μB/atom
**Calculated density**: 7604 kg/m³

```
Gd2DyIn
1.0
1.7551 1.0133 12.1114
-1.7551 1.0133 12.1114
0.0000 -2.0266 12.1114
Gd Dy In
2 1 1
direct
0.0884 0.0884 0.0884
0.9116 0.9116 0.9116
0.5000 0.5000 0.5000
0.0000 0.0000 0.0000
```